Computed, not measured: a relaxed structure of La2TiTc at the PBE-GGA level of DFT.

Unit cell a=5.150 b=5.150 c=5.150 alpha=60.00 beta=60.00 gamma=60.00
Positions (direct):
La 0.250 0.250 0.250
La 0.750 0.750 0.750
Ti 0.000 0.000 0.000
Tc 0.500 0.500 0.500

Values from the calculation:
- Energy above the lowest structure with this stoichiometry: 0 meV/atom
- Calculated formation energy: 1.59 eV/f.u.
- Total DFT energy (no corrections): -6.632 eV per atom
- Symmetry: No. 225